(1)
PBE BaEr2Se4, relaxed; energy above the most stable polymorph in this dataset = 0 meV per atom; formation energy from raw total energies = -1975 meV/atom; space-group type = Pnma; size of the total moment = 0.00 Bohr magnetons per cell
1.0
-3.107 -2.683 -0.820
5.612 -8.779 7.457
-7.673 5.235 11.937
Ba Se Er
4 16 8
Direct
0.750 0.260 0.165
0.250 0.240 0.665
0.250 0.740 0.835
0.750 0.760 0.335
0.750 0.415 0.576
0.250 0.085 0.076
0.250 0.585 0.424
0.750 0.915 0.924
0.750 0.206 0.840
0.250 0.294 0.340
0.250 0.794 0.160
0.750 0.706 0.660
0.750 0.125 0.525
0.250 0.375 0.025
0.250 0.875 0.475
0.750 0.625 0.975
0.750 0.025 0.283
0.250 0.475 0.783
0.250 0.975 0.717
0.750 0.525 0.217
0.750 0.421 0.900
0.250 0.079 0.400
0.250 0.579 0.100
0.750 0.921 0.600
0.750 0.937 0.109
0.250 0.563 0.609
0.250 0.063 0.891
0.750 0.437 0.391



(2)
PBE Ba2ErSe3, relaxed; D(E_F) = 0.235 states/eV/atom; formation energy from raw total energies = -1803 meV/atom; space-group type = Immm; size of the total moment = 0.00 Bohr magnetons per cell
1.0
4.408 0.000 0.000
0.000 5.396 0.000
-2.204 -2.698 8.642
Ba Er Se
2 1 3
Direct
0.649 0.649 0.298
0.351 0.351 0.702
0.000 0.000 0.000
0.000 0.500 0.000
0.838 0.838 0.676
0.162 0.162 0.324



(3)
PBE Ba2SmErSe4, relaxed; D(E_F) = 0.471 states/eV/atom; formation energy from raw total energies = -1877 meV/atom; space-group type = P2/m; size of the total moment = 0.00 Bohr magnetons per cell
1.0
-0.584 1.624 3.953
-5.489 -4.906 1.205
6.737 -3.182 2.302
Ba Sm Er Se
2 1 1 4
Direct
0.500 0.000 0.500
0.000 0.500 0.500
0.500 0.500 0.000
0.000 0.000 0.000
0.500 0.231 0.212
0.500 0.769 0.788
0.000 0.255 0.785
0.000 0.745 0.215



(4)
PBE BaSmEr4Se8, relaxed; D(E_F) = 0.319 states/eV/atom; formation energy from raw total energies = -1759 meV/atom; space-group type = R3m; size of the total moment = 0.00 Bohr magnetons per cell
1.0
8.546 0.000 0.000
4.273 7.401 0.000
4.273 2.467 7.086
Ba Sm Er Se
1 1 4 8
Direct
0.372 0.372 0.883
0.002 0.002 0.994
0.625 0.625 0.124
0.001 0.496 0.502
0.496 0.001 0.502
0.001 0.001 0.502
0.238 0.801 0.724
0.801 0.238 0.724
0.238 0.238 0.724
0.231 0.231 0.306
0.753 0.231 0.263
0.231 0.753 0.263
0.753 0.753 0.263
0.757 0.757 0.728



(5)
PBE Ba2TbErSe4, relaxed; D(E_F) = 0.470 states/eV/atom; formation energy from raw total energies = -1870 meV/atom; space-group type = P2/m; size of the total moment = 0.00 Bohr magnetons per cell
1.0
4.285 0.000 0.000
0.000 7.401 0.120
0.000 -2.602 7.343
Ba Tb Er Se
2 1 1 4
Direct
0.500 0.000 0.500
0.000 0.500 0.500
0.500 0.500 0.000
0.000 0.000 0.000
0.500 0.234 0.210
0.500 0.766 0.790
0.000 0.260 0.788
0.000 0.740 0.212



(6)
PBE Ba3Tb3ErSe8, relaxed; D(E_F) = 0.230 states/eV/atom; formation energy from raw total energies = -1928 meV/atom; space-group type = R-3m; size of the total moment = 0.00 Bohr magnetons per cell
1.0
-3.466 -1.034 7.627
2.206 -6.736 -4.582
6.540 4.950 3.643
Ba Tb Er Se
3 3 1 8
Direct
0.000 0.000 0.000
0.000 0.500 0.000
0.500 0.500 0.000
0.500 0.000 0.500
0.500 0.500 0.500
0.000 0.500 0.500
0.000 0.000 0.500
0.262 0.524 0.286
0.738 0.476 0.714
0.764 0.528 0.290
0.236 0.472 0.710
0.764 0.026 0.290
0.236 0.974 0.710
0.262 0.026 0.290
0.738 0.974 0.710



(7)
PBE BaTb4ErSe8, relaxed; D(E_F) = 0.312 states/eV/atom; formation energy from raw total energies = -1776 meV/atom; space-group type = R3m; size of the total moment = 0.00 Bohr magnetons per cell
1.0
-7.196 4.112 -2.426
-5.312 -3.628 -5.762
-7.699 -2.943 2.478
Ba Tb Er Se
1 4 1 8
Direct
0.376 0.376 0.873
0.625 0.625 0.126
0.002 0.495 0.502
0.495 0.002 0.502
0.002 0.002 0.502
0.002 0.002 0.995
0.231 0.802 0.736
0.802 0.231 0.736
0.231 0.231 0.736
0.233 0.233 0.301
0.759 0.227 0.254
0.227 0.759 0.254
0.759 0.759 0.254
0.757 0.757 0.729



(8)
PBE Ba3TbEr3Se8, relaxed; D(E_F) = 0.233 states/eV/atom; formation energy from raw total energies = -1913 meV/atom; space-group type = R-3m; size of the total moment = 0.00 Bohr magnetons per cell
1.0
8.383 0.000 0.000
-4.191 7.259 -0.026
0.000 -4.812 7.537
Ba Tb Er Se
3 1 3 8
Direct
0.000 0.000 0.000
0.000 0.500 0.000
0.500 0.500 0.000
0.000 0.000 0.500
0.500 0.000 0.500
0.500 0.500 0.500
0.000 0.500 0.500
0.263 0.526 0.290
0.737 0.474 0.710
0.761 0.521 0.290
0.239 0.479 0.710
0.760 0.029 0.290
0.240 0.971 0.710
0.269 0.029 0.290
0.731 0.971 0.710



(9)
PBE BaEr4TmSe8, relaxed; D(E_F) = 0.320 states/eV/atom; formation energy from raw total energies = -1750 meV/atom; space-group type = R3m; size of the total moment = 0.00 Bohr magnetons per cell
1.0
-5.581 6.153 -2.012
-8.136 -1.998 -1.697
-6.164 2.144 5.501
Ba Er Tm Se
1 4 1 8
Direct
0.375 0.375 0.874
0.625 0.625 0.125
0.002 0.495 0.502
0.495 0.002 0.502
0.002 0.002 0.502
0.002 0.002 0.995
0.231 0.804 0.734
0.804 0.231 0.734
0.231 0.231 0.734
0.232 0.232 0.303
0.758 0.228 0.256
0.228 0.758 0.256
0.758 0.758 0.256
0.757 0.757 0.729



(10)
PBE BaErTm4Se8, relaxed; D(E_F) = 0.316 states/eV/atom; formation energy from raw total energies = -1741 meV/atom; space-group type = R3m; size of the total moment = 0.00 Bohr magnetons per cell
1.0
8.514 0.000 0.000
4.257 7.374 0.000
4.257 2.458 6.973
Ba Er Tm Se
1 1 4 8
Direct
0.374 0.374 0.877
0.002 0.002 0.994
0.625 0.625 0.125
0.002 0.495 0.502
0.495 0.002 0.502
0.002 0.002 0.502
0.233 0.803 0.730
0.803 0.233 0.730
0.233 0.233 0.730
0.232 0.232 0.305
0.757 0.229 0.258
0.229 0.757 0.258
0.757 0.757 0.258
0.757 0.757 0.728



(11)
PBE Ba3Y3ErSe8, relaxed; D(E_F) = 0.239 states/eV/atom; formation energy from raw total energies = -1932 meV/atom; space-group type = R-3m; size of the total moment = 0.00 Bohr magnetons per cell
1.0
-8.371 0.457 0.806
4.404 -5.358 4.781
0.652 8.762 1.798
Ba Y Er Se
3 3 1 8
Direct
0.000 0.000 0.000
0.000 0.500 0.000
0.500 0.500 0.000
0.500 0.000 0.500
0.500 0.500 0.500
0.000 0.500 0.500
0.000 0.000 0.500
0.262 0.524 0.286
0.738 0.476 0.714
0.764 0.528 0.290
0.236 0.472 0.710
0.764 0.026 0.290
0.236 0.974 0.710
0.263 0.026 0.290
0.737 0.974 0.710



(12)
PBE BaEr4Si4, relaxed; D(E_F) = 0.423 states/eV/atom; formation energy from raw total energies = -541 meV/atom; space-group type = P4_2/n; size of the total moment = 0.00 Bohr magnetons per cell
1.0
5.603 0.000 0.000
0.000 9.481 0.000
0.000 0.000 9.481
Ba Er Si
2 8 8
Direct
0.000 0.000 0.000
0.500 0.500 0.500
0.380 0.369 0.878
0.880 0.622 0.869
0.380 0.631 0.122
0.120 0.131 0.622
0.620 0.878 0.631
0.120 0.869 0.378
0.880 0.378 0.131
0.620 0.122 0.369
0.611 0.823 0.316
0.611 0.177 0.684
0.111 0.816 0.677
0.889 0.323 0.816
0.889 0.677 0.184
0.389 0.316 0.177
0.389 0.684 0.823
0.111 0.184 0.323



Number 1: E -5.5443 eV per atom. Number 2: E -4.9462 eV per atom. Number 3: E -5.2606 eV per atom. Number 4: E -5.5278 eV per atom. Number 5: E -5.2420 eV per atom. Number 6: E -5.4013 eV per atom. Number 7: E -5.5535 eV per atom. Number 8: E -5.3777 eV per atom. Number 9: E -5.5014 eV per atom. Number 10: E -5.4729 eV per atom. Number 11: E -5.7715 eV per atom. Number 12: E -5.1930 eV per atom.